Compound: NdTaMnIr2
Source: the Alexandria database
Functional: GGA-PBE
Structure: optimized geometry

Results
The formation energy is -2.16 eV per formula unit. As for the space group: No. 119. The calculation puts the calculated density at 12.76 g/cm3.

Unit cell a=4.2352 b=4.2352 c=6.3048 alpha=109.63 beta=109.63 gamma=90.00
With the nearest neighbours (Å) after each atom.
Positions (direct):
Mn: 0.7500 0.2500 0.5000  4 Ir 2.59
Nd: 0.0000 0.0000 0.0000  8 Ir 3.26, 4 Ta 3.49, 4 Mn 3.49
Ir: 0.3838 0.3838 0.7677  1 Ir 2.58, 2 Ta 2.59, 2 Mn 2.59
Ir: 0.6162 0.6162 0.2323  1 Ir 2.58, 2 Ta 2.59, 2 Mn 2.59
Ta: 0.2500 0.7500 0.5000  4 Ir 2.59